Record 1
This record from the Alexandria database describes a relaxed LiSmGdRh crystal. The functional is PBE.

The structure belongs to space group F-43m (No. 216); the cell edges are 7.086, 7.086 and 7.086 Å and the angles 90.00°, 90.00° and 90.00°. The asymmetric unit holds Li at (0.000, 0.000, 0.000), Sm at (0.250, 0.250, 0.750), Gd at (0.250, 0.250, 0.250) and Rh at (0.000, 0.000, 0.500).

Its energy relative to the elements is -160 kJ/mol of formula units. The total magnetic moment comes out at 1.78 μB/atom.


Record 2
This record from the Alexandria database describes a relaxed SrMgMn2H8 crystal. The functional is PBE.

The structure belongs to space group P-3 (No. 147); the cell edges are 4.6070, 4.6070 and 6.0330 Å and the angles 90.00°, 90.00° and 120.00°. The asymmetric unit holds Sr at (0.0000, 0.0000, 0.0000), Mg at (0.0000, 0.0000, 0.5000), Mn at (0.3333, 0.6667, 0.5675), H at (0.0521, 0.6376, 0.3527) and H at (0.3333, 0.6667, 0.8507).

The total energy comes out at -49.6 eV/cell. The total magnetic moment comes out at 0.33 μB/atom.


Record 3
This record from the Alexandria database describes a relaxed ScPt2Au crystal. The functional is PBE.

The structure belongs to space group F-43m (No. 216); the cell edges are 6.518, 6.518 and 6.518 Å and the angles 90.00°, 90.00° and 90.00°. The asymmetric unit holds Sc at (0.000, 0.000, 0.000), Pt at (0.000, 0.000, 0.500), Pt at (0.250, 0.250, 0.250) and Au at (0.250, 0.250, 0.750).

Its energy relative to the elements is -258 kJ/mol of formula units. The total magnetic moment comes out at 0.00 μB/atom.